5
Lattice="-2.034 -3.759 0.732 3.538 -2.162 -1.270 1.553 0.001 4.326" Properties=species:S:1:pos:R:3 comment="NaZrPRu2 | the Alexandria database | meta-GGA SCAN | PBEsol geometry" dos_at_fermi_per_ev_atom=0.54 m_tot_mub_per_cell=0.0 delta_e_f_ev_per_atom=0.15 pbc="T T T"
Ru 1.769 -1.081 -0.635
Ru -1.017 -1.880 0.366
Na 0.777 0.001 2.163
Zr 1.529 -2.960 1.894
P 0.000 0.000 0.000

---

4
Lattice="-0.439 0.340 2.698 1.840 -1.976 0.548 6.195 5.844 0.271" Properties=species:S:1:pos:R:3 comment="YTc2Rh | the Alexandria database | meta-GGA SCAN | PBEsol geometry" dos_at_fermi_per_ev_atom=1.11 m_tot_mub_per_cell=0.0 e_above_lowest_polymorph_mev_per_atom=212 delta_e_f_ev_per_atom=0.26 pbc="T T T"
Rh 3.798 2.104 1.759
Tc 4.439 4.188 0.194
Tc 1.756 1.656 0.077
Y 0.700 -0.818 1.623

---

4
Lattice="3.996 0.000 0.000 0.000 3.996 0.000 -1.998 -1.998 4.535" Properties=species:S:1:pos:R:3 comment="LiTl2Ir | the Alexandria database | meta-GGA SCAN | PBEsol geometry" dos_at_fermi_per_ev_atom=0.30 m_tot_mub_per_cell=0.0 delta_e_f_ev_per_atom=0.16 pbc="T T T"
Ir 1.998 1.998 0.000
Li 0.000 1.998 2.267
Tl 0.000 0.000 0.000
Tl 1.998 0.000 2.267

---

4
Lattice="-0.571 -0.321 2.512 4.038 0.083 0.928 -0.210 4.432 0.518" Properties=species:S:1:pos:R:3 comment="MnCoTc2 | the Alexandria database | meta-GGA SCAN | PBEsol geometry" dos_at_fermi_per_ev_atom=0.81 m_tot_mub_per_cell=1.0 e_above_lowest_polymorph_mev_per_atom=0 delta_e_f_ev_per_atom=0.04 pbc="T T T"
Mn 1.689 0.816 1.829
Co -0.399 2.239 1.536
Tc -0.011 0.225 0.026
Tc 1.873 3.130 0.825

---

4
Lattice="3.859 0.000 0.000 1.930 3.342 0.000 1.930 1.114 8.614" Properties=species:S:1:pos:R:3 comment="BaScS2 | the Alexandria database | meta-GGA SCAN | PBEsol geometry" dos_at_fermi_per_ev_atom=0.23 m_tot_mub_per_cell=0.7 formation_energy_uncorrected_kj_per_mol_atoms=-167.9 e_above_lowest_polymorph_mev_per_atom=0 pbc="T T T"
Sc 3.859 2.228 4.307
S 5.789 3.342 2.969
S 1.930 1.114 5.644
Ba 0.000 0.000 0.000

---

5
Lattice="-3.729 -3.092 -1.870 1.454 -3.744 3.291 -3.308 1.840 3.554" Properties=species:S:1:pos:R:3 comment="RbAs3Os | the Alexandria database | meta-GGA SCAN | PBEsol geometry" dos_at_fermi_per_ev_atom=0.72 m_tot_mub_per_cell=1.5 delta_e_f_ev_per_atom=2.99 pbc="T T T"
As 0.727 -1.872 1.645
As -1.654 0.920 1.777
As -1.864 -1.546 -0.935
Os -2.791 -2.498 2.488
Rb 0.000 0.000 0.000

---

5
Lattice="-1.479 -5.311 0.622 5.084 -1.597 -1.545 1.658 0.158 5.292" Properties=species:S:1:pos:R:3 comment="TlInBr3 | the Alexandria database | meta-GGA SCAN | PBEsol geometry" dos_at_fermi_per_ev_atom=0.19 m_tot_mub_per_cell=0.0 formation_energy_uncorrected_kj_per_mol_atoms=-75.4 pbc="T T T"
Tl 2.631 -3.375 2.185
Br 2.542 -0.798 -0.772
Br 0.829 0.079 2.646
Br -0.740 -2.655 0.311
In 0.000 0.000 0.000

---

5
Lattice="-3.855 2.637 -2.064 -1.029 -3.928 -3.096 -3.187 -1.921 3.497" Properties=species:S:1:pos:R:3 comment="KBaRu3 | the Alexandria database | meta-GGA SCAN | PBEsol geometry" dos_at_fermi_per_ev_atom=1.23 m_tot_mub_per_cell=4.7 delta_e_f_ev_per_atom=2.40 pbc="T T T"
Ru -0.514 -1.964 -1.548
Ru -1.593 -0.961 1.748
Ru -1.927 1.318 -1.032
K -4.035 -1.606 -0.832
Ba 0.000 0.000 0.000